Record 1
DFT (SCAN) results for a PBEsol-optimized structure of Sc2GaAsW.

The structure belongs to space group P4/mmm (No. 123); the cell edges are 4.941, 4.941 and 4.799 Å and the angles 90.00°, 90.00° and 90.00°. The inequivalent atoms are Sc at (0.000, 0.500, 0.000), Ga at (0.000, 0.000, 0.500), As at (0.500, 0.500, 0.500) and W at (0.000, 0.000, 0.000).

The total magnetic moment is 0.000 μB/cell. As for the formation energy: 0.56 eV/atom.


Record 2
DFT (SCAN) results for a PBEsol-optimized structure of GaAsSe3.

The structure belongs to space group Pm-3m (No. 221); the cell edges are 4.837, 4.837 and 4.837 Å and the angles 90.00°, 90.00° and 90.00°. The inequivalent atoms are Ga at (0.000, 0.000, 0.000), As at (0.500, 0.500, 0.500) and Se at (0.000, 0.000, 0.500).

The total magnetic moment is 0.000 μB/cell. Its uncorrected formation energy is 0.585 eV per atom.


Record 3
DFT (SCAN) results for a PBEsol-optimized structure of TaGaAsSe2.

The structure belongs to space group P4/mmm (No. 123); the cell edges are 4.986, 4.986 and 5.001 Å and the angles 90.00°, 90.00° and 90.00°. The inequivalent atoms are Ta at (0.000, 0.000, 0.000), Ga at (0.500, 0.500, 0.500), As at (0.000, 0.000, 0.500) and Se at (0.000, 0.500, 0.000).

The total magnetic moment is 0.001 μB/cell. Its uncorrected formation energy is -0.004 eV per atom.


Record 4
DFT (SCAN) results for a PBEsol-optimized structure of ZnGaAsSe2.

The structure belongs to space group P4/mmm (No. 123); the cell edges are 4.900, 4.900 and 4.848 Å and the angles 90.00°, 90.00° and 90.00°. The inequivalent atoms are Zn at (0.000, 0.000, 0.000), Ga at (0.500, 0.500, 0.500), As at (0.500, 0.500, 0.000) and Se at (0.000, 0.500, 0.500).

The total magnetic moment is 0.541 μB/cell. Its uncorrected formation energy is 0.627 eV per atom.


Record 5
DFT (SCAN) results for a PBEsol-optimized structure of Sr3GaAs3.

The structure belongs to space group Pnma (No. 62); the cell edges are 12.687, 19.153 and 6.458 Å and the angles 90.00°, 90.00° and 90.00°. The inequivalent atoms are Sr at (0.012, 0.074, 0.223), Sr at (0.019, 0.250, 0.829), Sr at (0.233, 0.250, 0.311), Sr at (0.236, 0.074, 0.692), Ga at (0.126, 0.663, 0.486), As at (0.010, 0.589, 0.266), As at (0.016, 0.750, 0.688), As at (0.235, 0.750, 0.289) and As at (0.242, 0.589, 0.707).

The total magnetic moment is 0.000 μB/cell. As for the formation energy: -1.16 eV/atom.


Record 6
DFT (SCAN) results for a PBEsol-optimized structure of Ga3Te3As.

The structure belongs to space group Pmn2_1 (No. 31); the cell edges are 4.096, 16.435 and 5.838 Å and the angles 90.00°, 90.00° and 90.00°. The inequivalent atoms are Ga at (0.000, 0.057, 0.000), Ga at (0.000, 0.568, 0.018), Ga at (0.000, 0.815, 0.024), Te at (0.000, 0.195, 0.234), Te at (0.000, 0.425, 0.227), Te at (0.000, 0.691, 0.292) and As at (0.000, 0.939, 0.259).

The total magnetic moment is 0.000 μB/cell. Its uncorrected formation energy is -0.323 eV per atom.


Record 7
DFT (SCAN) results for a PBEsol-optimized structure of Ti3GaAs.

The structure belongs to space group Pm-3m (No. 221); the cell edges are 4.607, 4.607 and 4.607 Å and the angles 90.00°, 90.00° and 90.00°. The inequivalent atoms are Ti at (0.000, 0.000, 0.500), Ga at (0.000, 0.000, 0.000) and As at (0.500, 0.500, 0.500).

The total magnetic moment is 0.018 μB/cell. As for the formation energy: 0.42 eV/atom.


Record 8
DFT (SCAN) results for a PBEsol-optimized structure of Ti2GaAs.

The structure belongs to space group Fm-3m (No. 225); the cell edges are 6.293, 6.293 and 6.293 Å and the angles 90.00°, 90.00° and 90.00°. The inequivalent atoms are Ti at (0.250, 0.250, 0.250), Ga at (0.000, 0.000, 0.000) and As at (0.000, 0.000, 0.500).

The total magnetic moment is 0.001 μB/cell. As for the formation energy: -0.39 eV/atom.


Q: Which formula does entry 2 have?
A: GaAsSe3


Q: What is the total magnetic moment in the eighth record?
A: 0.001 μB/cell


Q: Which value of total magnetic moment does entry 5 give?
A: 0.000 μB/cell